Compound: ZnInCuTc
Source: the Open Quantum Materials Database
Functional: PBE
Structure: optimized geometry

Lattice parameters (Å, degrees): 4.4365 4.4365 4.4365 60.00 60.00 60.00
With the nearest neighbours (Å) after each atom.
Fractional coordinates of all 4 atoms:
Zn1 0.0000 0.0000 0.0000  4 Tc 2.72, 4 Cu 2.72
In1 0.5000 0.5000 0.5000  4 Tc 2.72, 4 Cu 2.72
Cu1 0.7500 0.7500 0.7500  4 In 2.72, 4 Zn 2.72
Tc1 0.2500 0.2500 0.2500  4 In 2.72, 4 Zn 2.72

Calculated values
**Relative energy among the computed polymorphs**: 0.0 meV/atom
**M_tot**: 0.00 μB per atom